Entry 1:
Compound: KBi3Te
Source: Alexandria via LeMat-Bulk
Functional: PBE
Structure: optimized geometry

```
data_KBi3Te
_chemical_formula_sum 'K1 Bi3 Te1'
_space_group_name_H-M_alt 'P m -3 m'
_space_group_IT_number 221
_space_group_name_Hall '-P 4 2 3'
_cell_length_a 6.022
_cell_length_b 6.022
_cell_length_c 6.022
_cell_angle_alpha 90.00
_cell_angle_beta 90.00
_cell_angle_gamma 90.00
loop_
_atom_site_label
_atom_site_type_symbol
_atom_site_fract_x
_atom_site_fract_y
_atom_site_fract_z
K1 K 0.000 0.000 0.000
Bi1 Bi 0.000 0.500 0.500
Te1 Te 0.500 0.500 0.500
```

## Properties
- E (eV per cell) = -14.38
- formation energy from raw total energies (meV/atom) = 301
- energy relative to the lowest polymorph listed for this composition (meV/atom) = 0
- spin magnetization (μB/cell) = 0.0



Entry 2:
Compound: K3BiTe
Source: Alexandria via LeMat-Bulk
Functional: PBE
Structure: optimized geometry

```
data_K3BiTe
_chemical_formula_sum 'K3 Bi1 Te1'
_space_group_name_H-M_alt 'P m -3 m'
_space_group_IT_number 221
_space_group_name_Hall '-P 4 2 3'
_cell_length_a 6.605
_cell_length_b 6.605
_cell_length_c 6.605
_cell_angle_alpha 90.00
_cell_angle_beta 90.00
_cell_angle_gamma 90.00
loop_
_atom_site_label
_atom_site_type_symbol
_atom_site_fract_x
_atom_site_fract_y
_atom_site_fract_z
K1 K 0.000 0.000 0.500
Bi1 Bi 0.500 0.500 0.500
Te1 Te 0.000 0.000 0.000
```

## Properties
- E (eV per cell) = -12.10
- formation energy from raw total energies (meV/atom) = -357
- energy relative to the lowest polymorph listed for this composition (meV/atom) = 0
- spin magnetization (μB/cell) = 2.0



Entry 3:
Compound: K2BiTe
Source: Alexandria via LeMat-Bulk
Functional: PBE
Structure: optimized geometry

```
data_K2BiTe
_chemical_formula_sum 'K8 Bi4 Te4'
_space_group_name_H-M_alt 'I -4 2 d'
_space_group_IT_number 122
_space_group_name_Hall 'I -4 2bw'
_cell_length_a 9.836
_cell_length_b 9.836
_cell_length_c 6.531
_cell_angle_alpha 90.00
_cell_angle_beta 90.00
_cell_angle_gamma 90.00
loop_
_atom_site_label
_atom_site_type_symbol
_atom_site_fract_x
_atom_site_fract_y
_atom_site_fract_z
K1 K 0.226 0.250 0.125
Bi1 Bi 0.000 0.000 0.500
Te1 Te 0.000 0.000 0.000
```

## Properties
- E (eV per cell) = -42.80
- formation energy from raw total energies (meV/atom) = -371
- energy relative to the lowest polymorph listed for this composition (meV/atom) = 0
- spin magnetization (μB/cell) = 3.9



Entry 4:
Compound: KBiTe3
Source: Alexandria via LeMat-Bulk
Functional: PBE
Structure: optimized geometry

```
data_KBiTe3
_chemical_formula_sum 'K1 Bi1 Te3'
_space_group_name_H-M_alt 'P m -3 m'
_space_group_IT_number 221
_space_group_name_Hall '-P 4 2 3'
_cell_length_a 5.921
_cell_length_b 5.921
_cell_length_c 5.921
_cell_angle_alpha 90.00
_cell_angle_beta 90.00
_cell_angle_gamma 90.00
loop_
_atom_site_label
_atom_site_type_symbol
_atom_site_fract_x
_atom_site_fract_y
_atom_site_fract_z
K1 K 0.000 0.000 0.000
Bi1 Bi 0.500 0.500 0.500
Te1 Te 0.000 0.000 0.500
```

## Properties
- E (eV per cell) = -10.08
- formation energy from raw total energies (meV/atom) = 864
- energy relative to the lowest polymorph listed for this composition (meV/atom) = 967
- spin magnetization (μB/cell) = 0.0



Entry 5:
Compound: K5Bi2Te4
Source: Alexandria via LeMat-Bulk
Functional: PBE
Structure: optimized geometry

```
data_K5Bi2Te4
_chemical_formula_sum 'K10 Bi4 Te8'
_space_group_name_H-M_alt 'I m m m'
_space_group_IT_number 71
_space_group_name_Hall '-I 2 2'
_cell_length_a 5.834
_cell_length_b 6.827
_cell_length_c 25.166
_cell_angle_alpha 90.00
_cell_angle_beta 90.00
_cell_angle_gamma 90.00
loop_
_atom_site_label
_atom_site_type_symbol
_atom_site_fract_x
_atom_site_fract_y
_atom_site_fract_z
K1 K 0.000 0.000 0.000
K2 K 0.000 0.247 0.361
Bi1 Bi 0.000 0.500 0.237
Te1 Te 0.000 0.207 0.500
Te2 Te 0.000 0.500 0.123
```

## Properties
- E (eV per cell) = -59.99
- formation energy from raw total energies (meV/atom) = -380
- spin magnetization (μB/cell) = 0.0



Entry 6:
Compound: KBiTe3
Source: Alexandria via LeMat-Bulk
Functional: PBE
Structure: optimized geometry

```
data_KBiTe3
_chemical_formula_sum 'K1 Bi1 Te3'
_space_group_name_H-M_alt 'P m -3 m'
_space_group_IT_number 221
_space_group_name_Hall '-P 4 2 3'
_cell_length_a 6.031
_cell_length_b 6.031
_cell_length_c 6.031
_cell_angle_alpha 90.00
_cell_angle_beta 90.00
_cell_angle_gamma 90.00
loop_
_atom_site_label
_atom_site_type_symbol
_atom_site_fract_x
_atom_site_fract_y
_atom_site_fract_z
K1 K 0.000 0.000 0.000
Bi1 Bi 0.500 0.500 0.500
Te1 Te 0.000 0.500 0.500
```

## Properties
- E (eV per cell) = -14.92
- formation energy from raw total energies (meV/atom) = -103
- energy relative to the lowest polymorph listed for this composition (meV/atom) = 0
- spin magnetization (μB/cell) = 0.0



Entry 7:
Compound: K2BiTe
Source: Alexandria via LeMat-Bulk
Functional: PBE
Structure: optimized geometry

```
data_K2BiTe
_chemical_formula_sum 'K8 Bi4 Te4'
_space_group_name_H-M_alt 'F m -3 m'
_space_group_IT_number 225
_space_group_name_Hall '-F 4 2 3'
_cell_length_a 8.380
_cell_length_b 8.380
_cell_length_c 8.380
_cell_angle_alpha 90.00
_cell_angle_beta 90.00
_cell_angle_gamma 90.00
loop_
_atom_site_label
_atom_site_type_symbol
_atom_site_fract_x
_atom_site_fract_y
_atom_site_fract_z
K1 K 0.250 0.250 0.250
Bi1 Bi 0.000 0.000 0.000
Te1 Te 0.000 0.000 0.500
```

## Properties
- E (eV per cell) = -42.02
- formation energy from raw total energies (meV/atom) = -322
- energy relative to the lowest polymorph listed for this composition (meV/atom) = 49
- spin magnetization (μB/cell) = 0.0



Entry 8:
Compound: K2BiTe2
Source: Alexandria via LeMat-Bulk
Functional: PBE
Structure: optimized geometry

```
data_K2BiTe2
_chemical_formula_sum 'K4 Bi2 Te4'
_space_group_name_H-M_alt 'P 4/m b m'
_space_group_IT_number 127
_space_group_name_Hall '-P 4 2ab'
_cell_length_a 8.714
_cell_length_b 8.714
_cell_length_c 4.900
_cell_angle_alpha 90.00
_cell_angle_beta 90.00
_cell_angle_gamma 90.00
loop_
_atom_site_label
_atom_site_type_symbol
_atom_site_fract_x
_atom_site_fract_y
_atom_site_fract_z
K1 K 0.137 0.363 0.000
Bi1 Bi 0.000 0.000 0.500
Te1 Te 0.173 0.673 0.500
```

## Properties
- E (eV per cell) = -30.93
- formation energy from raw total energies (meV/atom) = -621
- energy relative to the lowest polymorph listed for this composition (meV/atom) = 29
- spin magnetization (μB/cell) = 0.0



Entry 9:
Compound: KBiTe
Source: Alexandria via LeMat-Bulk
Functional: PBE
Structure: optimized geometry

```
data_KBiTe
_chemical_formula_sum 'K4 Bi4 Te4'
_space_group_name_H-M_alt 'I m m m'
_space_group_IT_number 71
_space_group_name_Hall '-I 2 2'
_cell_length_a 3.371
_cell_length_b 6.327
_cell_length_c 20.118
_cell_angle_alpha 90.00
_cell_angle_beta 90.00
_cell_angle_gamma 90.00
loop_
_atom_site_label
_atom_site_type_symbol
_atom_site_fract_x
_atom_site_fract_y
_atom_site_fract_z
K1 K 0.000 0.000 0.169
Bi1 Bi 0.000 0.253 0.500
Te1 Te 0.000 0.000 0.345
```

## Properties
- E (eV per cell) = -37.01
- formation energy from raw total energies (meV/atom) = -378
- energy relative to the lowest polymorph listed for this composition (meV/atom) = 0
- spin magnetization (μB/cell) = 0.0



Entry 10:
Compound: K3ThBi2Te6
Source: Alexandria via LeMat-Bulk
Functional: PBE
Structure: optimized geometry

```
data_K3ThBi2Te6
_chemical_formula_sum 'K6 Th2 Bi4 Te12'
_space_group_name_H-M_alt 'C 1 2/m 1'
_space_group_IT_number 12
_space_group_name_Hall '-C 2y'
_cell_length_a 8.053
_cell_length_b 14.259
_cell_length_c 8.540
_cell_angle_alpha 90.00
_cell_angle_beta 108.51
_cell_angle_gamma 90.00
loop_
_atom_site_label
_atom_site_type_symbol
_atom_site_fract_x
_atom_site_fract_y
_atom_site_fract_z
K1 K 0.000 0.000 0.000
K2 K 0.000 0.329 0.000
Th1 Th 0.000 0.500 0.500
Bi1 Bi 0.000 0.164 0.500
Te1 Te 0.235 0.337 0.709
Te2 Te 0.243 0.000 0.712
```

## Properties
- E (eV per cell) = -93.74
- formation energy from raw total energies (meV/atom) = -796
- spin magnetization (μB/cell) = 0.0



Entry 11:
Compound: KTi2BiTe
Source: Alexandria via LeMat-Bulk
Functional: PBE
Structure: optimized geometry

```
data_KTi2BiTe
_chemical_formula_sum 'K1 Ti2 Bi1 Te1'
_space_group_name_H-M_alt 'P 4/m m m'
_space_group_IT_number 123
_space_group_name_Hall '-P 4 2'
_cell_length_a 5.255
_cell_length_b 5.255
_cell_length_c 6.248
_cell_angle_alpha 90.00
_cell_angle_beta 90.00
_cell_angle_gamma 90.00
loop_
_atom_site_label
_atom_site_type_symbol
_atom_site_fract_x
_atom_site_fract_y
_atom_site_fract_z
K1 K 0.000 0.000 0.000
Ti1 Ti 0.000 0.500 0.500
Bi1 Bi 0.500 0.500 0.000
Te1 Te 0.500 0.500 0.500
```

## Properties
- E (eV per cell) = -21.04
- formation energy from raw total energies (meV/atom) = 574
- spin magnetization (μB/cell) = 3.6